1.
# AgBi5Te8 GGA-PBE relaxed
# - Calculated total energy: -198.83 eV/cell
# - Volume: 39.00 Å³/atom
# - Formation energy from raw total energies: -166 meV/atom
data_AgBi5Te8
_symmetry_space_group_name_H-M 'F -4 3 m'
_symmetry_Int_Tables_number 216
_symmetry_space_group_name_Hall 'F -4 2 3'
_cell_length_a 12.975
_cell_length_b 12.975
_cell_length_c 12.975
_cell_angle_alpha 90.00
_cell_angle_beta 90.00
_cell_angle_gamma 90.00
loop_
_atom_site_label
_atom_site_fract_x
_atom_site_fract_y
_atom_site_fract_z
Ag1 0.000 0.000 0.000
Bi1 0.131 0.131 0.631
Bi2 0.250 0.250 0.250
Te1 0.116 0.116 0.384
Te2 0.128 0.128 0.872



2.
# FeSiNi2Pb GGA-PBE relaxed
# - Calculated total energy: -21.51 eV/cell
# - Volume: 21.98 Å³/atom
# - Formation energy from raw total energies: 1529 meV/atom
data_FeSiNi2Pb
_symmetry_space_group_name_H-M 'P 4/m m m'
_symmetry_Int_Tables_number 123
_symmetry_space_group_name_Hall '-P 4 2'
_cell_length_a 4.727
_cell_length_b 4.727
_cell_length_c 4.920
_cell_angle_alpha 90.00
_cell_angle_beta 90.00
_cell_angle_gamma 90.00
loop_
_atom_site_label
_atom_site_fract_x
_atom_site_fract_y
_atom_site_fract_z
Fe1 0.000 0.000 0.000
Si1 0.500 0.500 0.000
Ni1 0.000 0.500 0.500
Pb1 0.000 0.000 0.500



3.
# MgGaTc2C GGA-PBE relaxed
# - Calculated total energy: -34.01 eV/cell
# - Volume: 13.98 Å³/atom
data_MgGaTc2C
_symmetry_space_group_name_H-M 'P 4/m m m'
_symmetry_Int_Tables_number 123
_symmetry_space_group_name_Hall '-P 4 2'
_cell_length_a 4.079
_cell_length_b 4.079
_cell_length_c 4.200
_cell_angle_alpha 90.00
_cell_angle_beta 90.00
_cell_angle_gamma 90.00
loop_
_atom_site_label
_atom_site_fract_x
_atom_site_fract_y
_atom_site_fract_z
Mg1 0.000 0.000 0.000
Ga1 0.500 0.500 0.000
Tc1 0.000 0.500 0.500
C1 0.000 0.000 0.500